(1)
Zn2GeO4 | Alexandria | PBE | relaxed; total moment = 0.0 μB/f.u.; E above lowest polymorph = 0 meV per atom; V = 13.90 Å³ per atom; formation energy (no corrections) = -1.566 eV per atom; SG = No. 148; VASP energy = -5.423 eV/atom
1.0
-6.1241 -2.0296 6.2111
-2.3108 -4.1530 -7.5904
7.8519 -3.3658 2.6873
Zn Ge O
12 6 24
Cartesian
4.9328 -3.9286 3.2749 Zn
-5.1754 -3.2652 3.6118 Zn
-0.4877 -4.7651 -5.2485 Zn
-5.5159 -5.6198 -1.9669 Zn
4.5923 -6.2833 -2.3038 Zn
-0.0954 -4.7833 6.5565 Zn
-3.1488 -3.7471 0.9792 Zn
0.8104 -4.4205 -2.1718 Zn
1.6085 -3.7842 2.8297 Zn
2.5657 -5.8013 0.3287 Zn
-1.3935 -5.1279 3.4797 Zn
-2.1916 -5.7643 -1.5218 Zn
-3.3425 -6.9155 1.4841 Ge
0.5555 -7.5995 -1.7715 Ge
1.4750 -6.9705 3.2305 Ge
2.7595 -2.6329 -0.1761 Ge
-1.1386 -1.9489 3.0795 Ge
-2.0581 -2.5780 -1.9226 Ge
1.1257 -4.6857 -4.1105 O
3.1441 -3.6872 4.0790 O
-4.9961 -3.5214 1.6607 O
-1.7088 -4.8627 5.4184 O
-3.7272 -5.8613 -2.7711 O
4.4131 -6.0271 -0.3528 O
-2.7591 -2.3094 -0.3055 O
1.6939 -2.7587 -1.6000 O
0.6288 -2.0793 2.8845 O
2.1761 -7.2390 1.6134 O
-2.2770 -6.7898 2.9079 O
-1.2118 -7.4691 -1.5766 O
-2.9421 -5.6145 0.3364 O
1.3184 -6.0880 -1.2208 O
0.5773 -5.4329 3.2315 O
2.3591 -3.9339 0.9715 O
-1.9015 -3.4604 2.5287 O
-1.1604 -4.1155 -1.9236 O
6.8325 -4.5587 0.3854 O
-3.9967 -4.6954 -5.4399 O
-3.5872 -3.0520 6.7402 O
-7.4155 -4.9897 0.9225 O
3.4136 -4.8530 6.7479 O
3.0042 -6.4964 -5.4323 O


(2)
BeCu2BiMo | Alexandria | PBE | relaxed; total moment = 2.8 μB/f.u.; V = 17.24 Å³ per atom; formation energy = 946.8 meV/atom; SG = No. 123; VASP energy = -4.379 eV/atom
1.0
4.1673 0.0000 0.0000
0.0000 4.1673 0.0000
0.0000 0.0000 4.9625
Be Mo Bi Cu
1 1 1 2
Cartesian
0.0000 0.0000 0.0000 Be
2.0837 2.0837 2.4812 Mo
0.0000 0.0000 2.4812 Bi
0.0000 2.0837 0.0000 Cu
2.0837 0.0000 0.0000 Cu


(3)
Ca2HgRh | Alexandria | PBE | relaxed; total moment = 0.0 μB/f.u.; V = 25.46 Å³ per atom; formation energy = -416.8 meV/atom; SG = No. 6; VASP energy = -3.331 eV/atom
1.0
4.5001 0.0000 0.0000
0.0000 4.1067 -0.0047
0.0000 2.0492 5.5075
Ca Rh Hg
2 1 1
Cartesian
0.0000 5.9011 4.9931 Ca
2.2501 1.7941 1.8612 Ca
2.2501 3.8461 4.2719 Rh
0.0000 3.8484 2.6309 Hg


(4)
PmSmGaIr | Alexandria | PBE | relaxed; total moment = 0.0 μB/f.u.; E above lowest polymorph = 111 meV per atom; V = 23.12 Å³ per atom; formation energy = -555.0 meV/atom; SG = No. 216; VASP energy = -5.894 eV/atom
1.0
-2.2478 -4.3195 1.4333
-0.6446 -3.7586 -3.3500
2.7242 -4.2630 0.4132
Ir Ga Sm Pm
1 1 1 1
Cartesian
-0.1262 -9.2559 -1.1276 Ir
-0.0421 -3.0853 -0.3759 Ga
-0.0841 -6.1706 -0.7518 Sm
0.0000 0.0000 0.0000 Pm